Record 1
! GGA-PBEsol La3Sc2, relaxed; values from VASP
! * space-group type: R-3m, No. 166
! * theoretical density: 5.8 Mg/m³
! * DFT total energy: -28.94 eV per cell
&SYSTEM
  ibrav = 0, nat = 5, ntyp = 2
/
ATOMIC_SPECIES
Sc 44.96 Sc.upf
La 138.91 La.upf
CELL_PARAMETERS angstrom
-3.168 -0.694 1.261
-2.303 -1.743 -1.942
2.891 -12.859 4.993
ATOMIC_POSITIONS angstrom
Sc -2.733 -3.961 0.559
Sc 0.153 -11.334 3.753
La 0.000 0.000 0.000
La -2.597 -9.779 2.501
La 0.017 -5.516 1.811

Record 2
! GGA-PBEsol KGaRh3, relaxed; values from VASP
! * space-group type: Pm-3m, No. 221
! * theoretical density: 7.2 Mg/m³
! * DFT total energy: -17.80 eV per cell
&SYSTEM
  ibrav = 0, nat = 5, ntyp = 3
/
ATOMIC_SPECIES
K 39.10 K.upf
Rh 102.91 Rh.upf
Ga 69.72 Ga.upf
CELL_PARAMETERS angstrom
4.587 0.000 0.000
0.000 4.587 0.000
0.000 0.000 4.587
ATOMIC_POSITIONS angstrom
K 0.000 0.000 0.000
Rh 0.000 2.293 0.000
Rh 0.000 0.000 2.293
Rh 2.293 0.000 0.000
Ga 2.293 2.293 2.293

Record 3
! GGA-PBEsol La5Mg, relaxed; values from VASP
! * space-group type: P-62m, No. 189
! * theoretical density: 6.2 Mg/m³
! * DFT total energy: -28.41 eV per cell
&SYSTEM
  ibrav = 0, nat = 6, ntyp = 2
/
ATOMIC_SPECIES
Mg 24.30 Mg.upf
La 138.91 La.upf
CELL_PARAMETERS angstrom
-5.322 2.162 -0.481
0.185 -0.909 -6.143
-2.154 -4.471 3.738
ATOMIC_POSITIONS angstrom
Mg -2.661 1.081 -0.240
La -0.627 -1.714 -0.766
La 0.126 -0.619 -4.186
La -1.468 -3.046 2.547
La -4.035 -2.202 0.204
La -3.255 -1.015 -3.090